A geometry-optimized La2Sm4Tl3Cl2 structure, computed with PBE.

abc: 5.3773 5.3773 23.7925
angles: 90.00 90.00 90.00
Space group I4/mmm (No. 139)
Asymmetric unit:
La (0.0000, 0.0000, 0.2016)
Sm (0.0000, 0.5000, 0.0847)
Tl (0.0000, 0.0000, 0.3384)
Tl (0.0000, 0.0000, 0.5000)
Cl (0.0000, 0.0000, 0.0731)

Calculated values
The formation energy from raw total energies comes out at -0.65 eV/atom.

A geometry-optimized CaPrHoHg structure, computed with PBE.

abc: 3.6616 3.6616 9.3608
angles: 90.00 90.00 90.00
Space group P4mm (No. 99)
Asymmetric unit:
Ca (0.0000, 0.0000, 0.0000)
Pr (0.5000, 0.5000, 0.3199)
Ho (0.0000, 0.0000, 0.5862)
Hg (0.5000, 0.5000, 0.7827)

Calculated values
Its excess energy over the best structure of this formula in the dataset is 0 meV per atom.